# 1
{
  "formula": "PmCuSe2",
  "functional": "PBE",
  "state": "optimized geometry",
  "formation_energy_uncorrected_ev_per_atom": -1.110,
  "density_kg_m3": 5626,
  "cell": [[4.311, 0.000, 0.000], [0.000, 7.498, -1.186], [-2.155, -2.477, 7.086]],
  "species": ["Pm", "Pm", "Se", "Se", "Se", "Se", "Cu", "Cu"],
  "frac_coords": [[0.250, 0.750, 0.000], [0.750, 0.250, 0.000], [0.367, 0.184, 0.235], [0.633, 0.816, 0.765], [0.133, 0.316, 0.765], [0.867, 0.684, 0.235], [0.500, 0.500, 0.500], [0.000, 0.000, 0.500]]
}

# 2
{
  "formula": "Ti3Co2Ni",
  "functional": "PBE",
  "state": "optimized geometry",
  "delta_e_f_ev_per_fu": -2.25,
  "de_polymorph_mev_per_atom": 0,
  "density_kg_m3": 6648,
  "cell": [[4.219, 0.000, 0.000], [-2.110, 3.654, 0.000], [0.000, 0.000, 10.374]],
  "species": ["Co", "Co", "Co", "Co", "Ti", "Ti", "Ti", "Ti", "Ti", "Ti", "Ni", "Ni"],
  "frac_coords": [[0.667, 0.333, 0.834], [0.000, 0.000, 0.000], [0.333, 0.667, 0.166], [0.000, 0.000, 0.500], [0.333, 0.667, 0.918], [0.667, 0.333, 0.082], [0.333, 0.667, 0.417], [0.667, 0.333, 0.583], [0.000, 0.000, 0.248], [0.000, 0.000, 0.752], [0.667, 0.333, 0.332], [0.333, 0.667, 0.668]]
}

# 3
{
  "formula": "Na2ZrCr",
  "functional": "PBE",
  "state": "optimized geometry",
  "delta_e_f_ev_per_fu": 4.35,
  "de_polymorph_mev_per_atom": 0,
  "density_kg_m3": 3221,
  "cell": [[-6.120, -5.809, 1.458], [2.891, -1.039, 7.994], [-3.244, -1.497, 5.566]],
  "species": ["Cr", "Cr", "Zr", "Zr", "Na", "Na", "Na", "Na"],
  "frac_coords": [[0.500, 0.500, 0.000], [0.250, 0.750, 0.500], [0.000, 0.000, 0.000], [0.750, 0.250, 0.500], [0.375, 0.410, 0.750], [0.875, 0.840, 0.750], [0.590, 0.125, 0.250], [0.160, 0.625, 0.250]]
}

# 4
{
  "formula": "La12Tm3In",
  "functional": "PBE",
  "state": "optimized geometry",
  "delta_e_f_ev_per_fu": -0.98,
  "density_kg_m3": 6912,
  "cell": [[5.147, 0.000, 0.000], [0.000, 5.147, 0.000], [0.000, 0.000, 20.754]],
  "species": ["La", "La", "La", "La", "La", "La", "La", "La", "La", "La", "La", "La", "Tm", "Tm", "Tm", "In"],
  "frac_coords": [[0.000, 0.500, 0.374], [0.500, 0.500, 0.250], [0.500, 0.000, 0.626], [0.500, 0.500, 0.000], [0.500, 0.500, 0.750], [0.000, 0.500, 0.122], [0.000, 0.500, 0.626], [0.000, 0.500, 0.878], [0.500, 0.000, 0.878], [0.500, 0.500, 0.500], [0.500, 0.000, 0.122], [0.500, 0.000, 0.374], [0.000, 0.000, 0.751], [0.000, 0.000, 0.500], [0.000, 0.000, 0.249], [0.000, 0.000, 0.000]]
}

Per-record volume, A^3/atom: 27.04 13.33 24.38 34.36
Per-record raw total energy, eV/cell: -40.5 -91.9 -32.9 -76.3